{"formula": "AlSn2Bi2", "functional": "GGA-PBE", "state": "optimized geometry", "delta_e_f_kj_per_mol_fu": 129, "de_polymorph_mev_per_atom": 82, "dos_at_fermi_per_ev_cell": 5.409, "m_tot_mub_per_cell": 0.0, "lattice_angstrom": [[8.4648, 0.0000, 0.0000], [0.0000, 8.4648, 0.0000], [0.0000, 0.0000, 4.2110]], "species": ["Al", "Al", "Sn", "Sn", "Sn", "Sn", "Bi", "Bi", "Bi", "Bi"], "fractional_positions": [[0.0000, 0.0000, 0.0000], [0.5000, 0.5000, 0.0000], [0.1419, 0.3581, 0.5000], [0.3581, 0.8581, 0.5000], [0.6419, 0.1419, 0.5000], [0.8581, 0.6419, 0.5000], [0.1619, 0.6619, 0.0000], [0.3381, 0.1619, 0.0000], [0.6619, 0.8381, 0.0000], [0.8381, 0.3381, 0.0000]]}